Pm2CrF8 after structural relaxation. Source: the Alexandria database, functional PBE with a Hubbard U.

Geometry as CIF:
```
data_Pm2CrF8
_chemical_formula_sum 'Pm2 Cr1 F8'
_space_group_name_H-M_alt 'P 1'
_space_group_IT_number 1
_space_group_name_Hall 'P 1'
_cell_length_a 3.6289
_cell_length_b 5.6587
_cell_length_c 8.1652
_cell_angle_alpha 92.03
_cell_angle_beta 102.30
_cell_angle_gamma 94.15
loop_
_atom_site_label
_atom_site_fract_x
_atom_site_fract_y
_atom_site_fract_z
Pm1 0.1669 0.1465 0.3054
Pm2 0.8331 0.8535 0.6946
Cr1 0.5000 0.5000 0.0000
F1 0.0629 0.2706 0.0301
F2 0.2270 0.8211 0.4862
F3 0.3248 0.5750 0.7484
F4 0.4019 0.0645 0.7883
F5 0.5981 0.9355 0.2117
F6 0.6752 0.4250 0.2516
F7 0.7730 0.1789 0.5138
F8 0.9371 0.7294 0.9699
```

- size of the total moment (μB per cell) = 4.000
- raw total energy (eV per atom) = -6.51
- calculated volume (A^3/atom) = 14.83
- energy relative to the lowest polymorph listed for this composition (meV/atom) = 60